# PBE-GGA CoNiHIr2, relaxed
data_CoNiHIr2
_space_group_name_H-M_alt 'P 1'
_space_group_IT_number 1
_cell_length_a 3.869
_cell_length_b 3.869
_cell_length_c 3.660
_cell_angle_alpha 90.00
_cell_angle_beta 90.00
_cell_angle_gamma 90.00
loop_
_space_group_symop_operation_xyz
'x,y,z'
loop_
_atom_site_label
_atom_site_type_symbol
_atom_site_fract_x
_atom_site_fract_y
_atom_site_fract_z
Ir1 Ir 0.000 0.500 0.000
H1 H 0.000 0.000 0.000
Co1 Co 0.500 0.500 0.500
Ni1 Ni 0.000 0.000 0.500
Ir2 Ir 0.500 0.000 0.000
# Space group: P4/mmm, No. 123

# PBE-GGA Co2HIrOs, relaxed
data_Co2HIrOs
_space_group_name_H-M_alt 'P 1'
_space_group_IT_number 1
_cell_length_a 3.765
_cell_length_b 3.765
_cell_length_c 3.710
_cell_angle_alpha 90.00
_cell_angle_beta 90.00
_cell_angle_gamma 90.00
loop_
_space_group_symop_operation_xyz
'x,y,z'
loop_
_atom_site_label
_atom_site_type_symbol
_atom_site_fract_x
_atom_site_fract_y
_atom_site_fract_z
H1 H 0.000 0.000 0.000
Co1 Co 0.000 0.500 0.000
Ir1 Ir 0.000 0.000 0.500
Co2 Co 0.500 0.000 0.000
Os1 Os 0.500 0.500 0.500
# E above lowest polymorph in meV/atom: 31
# Space group: P4/mmm, No. 123

# PBE-GGA Co2HIrOs, relaxed
data_Co2HIrOs
_space_group_name_H-M_alt 'P 1'
_space_group_IT_number 1
_cell_length_a 3.754
_cell_length_b 3.754
_cell_length_c 3.725
_cell_angle_alpha 90.00
_cell_angle_beta 90.00
_cell_angle_gamma 90.00
loop_
_space_group_symop_operation_xyz
'x,y,z'
loop_
_atom_site_label
_atom_site_type_symbol
_atom_site_fract_x
_atom_site_fract_y
_atom_site_fract_z
Ir1 Ir 0.500 0.500 0.500
Co1 Co 0.000 0.500 0.000
Os1 Os 0.000 0.000 0.500
Co2 Co 0.500 0.000 0.000
H1 H 0.000 0.000 0.000
# E above lowest polymorph in meV/atom: 0
# Space group: P4/mmm, No. 123

| no. | theoretical density (kg/m3) | final energy (eV/f.u.) |
| --- | --- | --- |
| 1 | 15246 | -33.1 |
| 2 | 15832 | -36.7 |
| 3 | 15863 | -36.8 |